HfAl | GGA-PBE | relaxed

The structure belongs to space group Imma (No. 74); the cell edges are 3.899, 4.192 and 9.358 Å and the angles 90.00°, 90.00° and 90.00°. Symmetry generates all atoms from Hf at (0.000, 0.250, 0.122) and Al at (0.000, 0.250, 0.635).

The calculated total energy comes out at -57.58 eV for the cell shown. For the energy of formation, the calculation gives -0.70 eV/f.u. For the density of states at the Fermi level, the calculation gives 0.734 states/eV per atom.